Crystalline Tl3Ga2Sn9 at its relaxed geometry. Source: the Alexandria database, functional PBE-GGA.

Properties
DOS at the Fermi energy = 4.79 states/eV/cell
final energy = -48.75 eV/cell

The structure in extended XYZ format:
```
14
Lattice="-3.204 -3.877 0.770 -0.613 -0.857 9.100 -8.214 3.862 1.233" Properties=species:S:1:pos:R:3 pbc="T T T"
Tl 0.000 0.000 0.000
Sn -3.983 -1.269 9.679
Sn -1.972 -0.476 5.497
Sn -4.414 1.502 5.166
Sn -9.537 2.179 3.932
Tl -7.189 1.045 7.574
Ga -7.191 0.293 4.335
Sn -6.794 -2.425 8.987
Ga -4.841 -1.166 6.767
Sn -10.060 -0.397 5.606
Sn -5.238 1.552 2.116
Sn -8.049 0.396 1.424
Sn -2.495 -3.052 7.171
Tl -4.843 -1.918 3.529
```